## LiTcBr (meta-GGA SCAN)

Data for LiTcBr at its PBEsol-relaxed geometry.

a = 4.1579 Å, b = 4.1579 Å, c = 4.1579 Å
α = 60.00°, β = 60.00°, γ = 60.00°
Last column: nearest neighbours and their distance in Å.
Fractional positions:
Li 0.0000 0.0000 0.0000  4 Tc 2.55
Tc 0.2500 0.2500 0.2500  4 Br 2.55, 4 Li 2.55
Br 0.5000 0.5000 0.5000  4 Tc 2.55

Summary:
Fermi-level density of states (states/eV per atom): 0.690
Energy above the lowest structure with this stoichiometry (meV per atom): 353.8
E_tot (eV/cell): -54.2

## RbSrI3 (meta-GGA SCAN)

Data for RbSrI3 at its PBEsol-relaxed geometry.

a = 8.0395 Å, b = 8.0395 Å, c = 12.0583 Å
α = 90.00°, β = 90.00°, γ = 145.85°
Last column: nearest neighbours and their distance in Å.
Fractional positions:
Rb 0.2491 0.7509 0.7500  8 I 3.60-4.03
Rb 0.7509 0.2491 0.2500  8 I 3.60-4.03
Sr 0.5000 0.5000 0.0000  6 I 3.21-3.26
Sr 0.5000 0.5000 0.5000  6 I 3.21-3.26
I 0.1403 0.8597 0.0543  2 Sr 3.26
I 0.1403 0.8597 0.4457  2 Sr 3.26
I 0.4281 0.5719 0.2500  2 Sr 3.21
I 0.5719 0.4281 0.7500  2 Sr 3.21
I 0.8597 0.1403 0.5543  2 Sr 3.26
I 0.8597 0.1403 0.9457  2 Sr 3.26

Summary:
Fermi-level density of states (states/eV per atom): 0.000
E_tot (eV/cell): -324.6

## Ba3CaSb2O9 (meta-GGA SCAN)

Data for Ba3CaSb2O9 at its PBEsol-relaxed geometry.

a = 5.9956 Å, b = 5.9956 Å, c = 14.9048 Å
α = 91.13°, β = 91.13°, γ = 119.78°
Last column: nearest neighbours and their distance in Å.
Fractional positions:
Ba 0.0081 0.9919 0.7500  6 O 2.69-2.95
Ba 0.3227 0.6570 0.4091  6 O 2.78-3.05
Ba 0.3430 0.6773 0.0909  6 O 2.78-3.05
Ba 0.6570 0.3227 0.9091  6 O 2.78-3.05
Ba 0.6773 0.3430 0.5909  6 O 2.78-3.05
Ba 0.9919 0.0081 0.2500  6 O 2.69-2.95
Ca 0.0000 0.0000 0.0000  6 O 2.25-2.28
Ca 0.0000 0.0000 0.5000  6 O 2.25-2.28
Sb 0.3126 0.6442 0.8456  6 O 1.94-2.12
Sb 0.3558 0.6874 0.6544  6 O 1.94-2.12
Sb 0.6442 0.3126 0.3456  6 O 1.94-2.12
Sb 0.6874 0.3558 0.1544  6 O 1.94-2.12
O 0.0444 0.5199 0.7358  2 Sb 2.06-2.12
O 0.1233 0.7805 0.9087  1 Sb 1.94
O 0.1289 0.3058 0.8960  1 Sb 1.94
O 0.2189 0.3960 0.5697  1 Sb 1.94
O 0.2195 0.8767 0.5913  1 Sb 1.94
O 0.3058 0.1289 0.3960  1 Sb 1.94
O 0.3960 0.2189 0.0697  1 Sb 1.94
O 0.4801 0.9556 0.7642  2 Sb 2.06-2.12
O 0.4820 0.5180 0.7500  2 Sb 2.10
O 0.5180 0.4820 0.2500  2 Sb 2.10
O 0.5199 0.0444 0.2358  2 Sb 2.06-2.12
O 0.6040 0.7811 0.9303  1 Sb 1.94
O 0.6942 0.8711 0.6040  1 Sb 1.94
O 0.7805 0.1233 0.4087  1 Sb 1.94
O 0.7811 0.6040 0.4303  1 Sb 1.94
O 0.8711 0.6942 0.1040  1 Sb 1.94
O 0.8767 0.2195 0.0913  1 Sb 1.94
O 0.9556 0.4801 0.2642  2 Sb 2.06-2.12

Summary:
Fermi-level density of states (states/eV per atom): 0.000
E_tot (eV/cell): -595.3

Copy entry 2 word for word.
## RbSrI3 (meta-GGA SCAN)

Data for RbSrI3 at its PBEsol-relaxed geometry.

a = 8.0395 Å, b = 8.0395 Å, c = 12.0583 Å
α = 90.00°, β = 90.00°, γ = 145.85°
Last column: nearest neighbours and their distance in Å.
Fractional positions:
Rb 0.2491 0.7509 0.7500  8 I 3.60-4.03
Rb 0.7509 0.2491 0.2500  8 I 3.60-4.03
Sr 0.5000 0.5000 0.0000  6 I 3.21-3.26
Sr 0.5000 0.5000 0.5000  6 I 3.21-3.26
I 0.1403 0.8597 0.0543  2 Sr 3.26
I 0.1403 0.8597 0.4457  2 Sr 3.26
I 0.4281 0.5719 0.2500  2 Sr 3.21
I 0.5719 0.4281 0.7500  2 Sr 3.21
I 0.8597 0.1403 0.5543  2 Sr 3.26
I 0.8597 0.1403 0.9457  2 Sr 3.26

Summary:
Fermi-level density of states (states/eV per atom): 0.000
E_tot (eV/cell): -324.6

- What is the E_tot in the first record?
  -54.2 eV/cell